Entry from the Alexandria database: crystalline CsPdIBr2 at its relaxed geometry (PBE).

```
data_CsPdIBr2
_chemical_formula_sum 'Cs1 Pd1 I1 Br2'
_space_group_name_H-M_alt 'P 1'
_space_group_IT_number 1
_space_group_name_Hall 'P 1'
_cell_length_a 5.3983
_cell_length_b 5.3983
_cell_length_c 5.5805
_cell_angle_alpha 90.00
_cell_angle_beta 90.00
_cell_angle_gamma 90.00
loop_
_atom_site_label
_atom_site_fract_x
_atom_site_fract_y
_atom_site_fract_z
Pd1 0.0000 0.0000 0.0000
Br1 0.5000 0.0000 0.0000
Br2 0.0000 0.5000 0.0000
I1 0.0000 0.0000 0.5000
Cs1 0.5000 0.5000 0.5000
```

Properties
- formation energy from raw total energies (eV per formula unit) = -4.16
- calculated total energy (eV/atom) = -3.020
- space-group type = P4/mmm